An optimized crystal structure of Dy2TlPd5, computed with PBE.

Calculated values
Space group: I4mm

The structure in POSCAR format:
```
Dy2TlPd5
1.0
6.0707 0.0000 0.0000
0.0000 6.0707 0.0000
0.0000 0.0000 8.1795
Dy Tl Pd
4 2 10
Cartesian
0.0000 3.0353 0.0000
0.0000 3.0353 4.0898
3.0353 0.0000 0.0000
3.0353 0.0000 4.0898
0.0000 0.0000 4.0766
3.0353 3.0353 8.1663
0.0000 0.0000 8.1787
1.5201 1.5201 2.0423
1.5153 1.5153 6.1321
1.5201 4.5506 2.0423
1.5153 4.5554 6.1321
3.0353 3.0353 4.0889
4.5506 1.5201 2.0423
4.5554 1.5153 6.1321
4.5506 4.5506 2.0423
4.5554 4.5554 6.1321
```

An optimized crystal structure of Dy4TlPd7, computed with PBE.

Calculated values
Space group: C2/m

The structure in POSCAR format:
```
Dy4TlPd7
1.0
5.4225 -2.6225 0.0000
5.4225 2.6225 0.0000
-5.1652 0.0000 9.0523
Dy Tl Pd
4 1 7
Cartesian
-0.4698 0.0000 2.5878
-1.3327 0.0000 7.8478
7.0126 0.0000 1.2045
6.1497 0.0000 6.4645
2.8400 0.0000 4.5261
-2.5826 0.0000 4.5261
1.3278 0.0000 0.2057
0.0488 0.0000 5.3854
3.6664 0.0000 1.6583
2.0135 0.0000 7.3940
5.6311 0.0000 3.6669
4.3521 0.0000 8.8466
```

no.,E_tot (eV/atom)
1,-5.389
2,-5.408